Record 1
Material: HoCuCl4
Method: DFT, PBE-GGA
State: relaxed

Output
**Total moment**: 0.03 μB/atom
**Volume**: 30.44 Å³/atom
**Formation energy (no corrections)**: -1.631 eV/atom

a = 7.6893 Å, b = 16.5067 Å, c = 6.7825 Å
α = 90.00°, β = 121.94°, γ = 90.00°
Last column: nearest neighbours and their distance in Å.
Space group C2/c (No. 15)
Symmetry-distinct sites (fractional):
1 Ho 0.0000 0.0650 0.2500  6 Cl 2.63-2.66
2 Cu 0.0000 0.3266 0.7500  2 Cl 2.12
3 Cl 0.2217 0.1851 0.2416  1 Cu 2.12
4 Cl 0.2266 0.0469 0.7062  2 Ho 2.64-2.66

Record 2
Material: KHoCu2Cl8
Method: DFT, PBE-GGA
State: relaxed

Output
**Total moment**: 0.17 μB/atom
**Volume**: 24.96 Å³/atom
**Formation energy (no corrections)**: -1.240 eV/atom

a = 6.4462 Å, b = 6.4462 Å, c = 14.4162 Å
α = 90.00°, β = 90.00°, γ = 90.00°
Last column: nearest neighbours and their distance in Å.
Space group I-4 (No. 82)
Symmetry-distinct sites (fractional):
1 K 0.0000 0.0000 0.0000  8 Cl 3.08-3.27
2 Ho 0.0000 0.5000 0.2500  8 Cl 2.70-2.91
3 Cu 0.0000 0.0000 0.5000  4 Cl 2.29
4 Cu 0.0000 0.5000 0.7500  4 Cl 2.28
5 Cl 0.1283 0.2700 0.4142  1 Cu 2.29
6 Cl 0.1704 0.7786 0.8107  1 Cu 2.28

Record 3
Material: KHoCuCl5
Method: DFT, PBE-GGA
State: relaxed

Output
**Total moment**: 0.02 μB/atom
**Volume**: 29.14 Å³/atom
**Formation energy (no corrections)**: -1.744 eV/atom

a = 8.6867 Å, b = 11.7710 Å, c = 9.9013 Å
α = 90.00°, β = 112.93°, γ = 90.00°
Last column: nearest neighbours and their distance in Å.
Space group C2/c (No. 15)
Symmetry-distinct sites (fractional):
1 K 0.0000 0.1502 0.2500  5 Cl 3.16-3.19
2 Ho 0.0000 0.5000 0.0000  6 Cl 2.63-2.65
3 Cu 0.0000 0.1887 0.7500  4 Cl 2.33-2.36
4 Cl 0.0000 0.4191 0.2500  2 Ho 2.65
5 Cl 0.1090 0.2983 0.6123  1 Cu 2.33
6 Cl 0.1885 0.0662 0.9267  1 Cu 2.36, 1 Ho 2.63

Record 4
Material: KHo2CuCl8
Method: DFT, PBE-GGA
State: relaxed

Output
**Total moment**: 0.02 μB/atom
**Volume**: 33.38 Å³/atom
**Formation energy (no corrections)**: -1.891 eV/atom

a = 7.0336 Å, b = 7.9555 Å, c = 8.0598 Å
α = 81.06°, β = 87.37°, γ = 64.07°
Last column: nearest neighbours and their distance in Å.
Space group P-1 (No. 2)
Symmetry-distinct sites (fractional):
1 K 0.0000 0.0000 0.0000  6 Cl 3.02-3.31
2 Ho 0.0337 0.4748 0.2570  6 Cl 2.51-2.74
3 Cu 0.0000 0.0000 0.5000  2 Cl 2.13
4 Cl 0.1516 0.7686 0.6960  1 Cu 2.13
5 Cl 0.2257 0.2878 0.9988  2 Ho 2.70
6 Cl 0.2333 0.2881 0.5502  2 Ho 2.65-2.67
7 Cl 0.2720 0.6369 0.2250  1 Ho 2.51

Record 5
Material: NaHoCuCl5
Method: DFT, PBE-GGA
State: relaxed

Output
**Total moment**: 0.02 μB/atom
**Volume**: 26.78 Å³/atom
**Formation energy (no corrections)**: -1.672 eV/atom

a = 8.2379 Å, b = 11.6458 Å, c = 9.7095 Å
α = 90.00°, β = 113.08°, γ = 90.00°
Last column: nearest neighbours and their distance in Å.
Space group C2/c (No. 15)
Symmetry-distinct sites (fractional):
1 Na 0.0000 0.1282 0.2500  4 Cl 2.82-2.90
2 Ho 0.0000 0.5000 0.0000  6 Cl 2.63-2.68
3 Cu 0.0000 0.1921 0.7500  4 Cl 2.32-2.34
4 Cl 0.0000 0.4033 0.2500  2 Ho 2.68
5 Cl 0.1412 0.3084 0.6376  1 Cu 2.32
6 Cl 0.1731 0.0659 0.9380  1 Cu 2.34

Record 6
Material: HoCuPbCl6
Method: DFT, PBE-GGA
State: relaxed

Output
**Total moment**: 0.01 μB/atom
**Volume**: 27.37 Å³/atom
**Formation energy (no corrections)**: -1.447 eV/atom

a = 6.6389 Å, b = 6.6389 Å, c = 12.9053 Å
α = 90.00°, β = 90.00°, γ = 120.00°
Last column: nearest neighbours and their distance in Å.
Space group P-31c (No. 163)
Symmetry-distinct sites (fractional):
1 Ho 0.3333 0.6667 0.2500  6 Cl 2.64
2 Cu 0.3333 0.6667 0.7500  6 Cl 2.56
3 Pb 0.0000 0.0000 0.0000  6 Cl 2.94
4 Cl 0.0093 0.3611 0.6351  1 Cu 2.56, 1 Ho 2.64